# Tl6Hg2Bi (GGA-PBE, optimized geometry)
data_Tl6Hg2Bi
_chemical_formula_sum 'Tl12 Hg4 Bi2'
_cell_length_a 4.529
_cell_length_b 14.883
_cell_length_c 8.590
_cell_angle_alpha 90.00
_cell_angle_beta 90.00
_cell_angle_gamma 90.00
_symmetry_space_group_name_H-M 'A m m 2'
_symmetry_Int_Tables_number 38
loop_
_symmetry_equiv_pos_as_xyz
'x,y,z'
'-x,-y,z'
'-x,y,z'
'x,-y,z'
'x,y+1/2,z+1/2'
'-x,-y+1/2,z+1/2'
'-x,y+1/2,z+1/2'
'x,-y+1/2,z+1/2'
loop_
_atom_site_label
_atom_site_type_symbol
_atom_site_fract_x
_atom_site_fract_y
_atom_site_fract_z
Tl1 Tl 0.000 0.000 0.000
Tl2 Tl 0.000 0.135 0.595
Tl3 Tl 0.500 0.000 0.328
Tl4 Tl 0.500 0.201 0.931
Hg1 Hg 0.000 0.167 0.230
Bi1 Bi 0.500 0.000 0.730
# Crystal system   orthorhombic
# Uncorrected energy   -2.080 eV/atom
# Energy of formation   -0.004 eV/atom
# Total magnetization   0.00 Bohr magnetons per cell